Entry 1:
# K2PrInS4

A geometry-optimized K2PrInS4 structure (GGA-PBE, Alexandria via LeMat-Bulk).

Computed properties:
For the raw formation energy, the calculation gives -1.295 eV/atom. The space group is No. 74.

Cell lengths 8.446, 8.446, 8.570 Å; angles 120.48, 120.48, 90.60 degrees
Positions (direct):
S: 0.754 0.286 0.520
S: 0.758 0.742 0.959
S: 0.758 0.742 0.541
S: 0.214 0.746 0.980
S: 0.242 0.258 0.459
S: 0.246 0.714 0.480
S: 0.786 0.254 0.020
S: 0.242 0.258 0.041
K: 0.500 0.500 0.000
K: 0.000 0.000 0.500
K: 0.500 0.000 0.000
K: 0.500 0.000 0.500
Pr: 0.000 0.500 0.500
Pr: 0.000 0.500 0.000
In: 0.000 0.000 0.000
In: 0.500 0.500 0.500

=====

Entry 2:
# Re2WS5

A geometry-optimized Re2WS5 structure (GGA-PBE, Alexandria via LeMat-Bulk).

Computed properties:
For the raw formation energy, the calculation gives 0.003 eV/atom. The space group is No. 8. The calculation puts the density of states at the Fermi level at 1.79 states/eV/cell.

Cell lengths 5.692, 6.788, 6.433 Å; angles 58.16, 70.56, 90.00 degrees
Positions (direct):
S: 0.683 0.061 0.298
S: 0.866 0.172 0.656
S: 0.683 0.641 0.298
S: 0.262 0.255 0.018
S: 0.262 0.726 0.018
Re: 0.930 0.381 0.238
Re: 0.519 0.982 0.035
W: 0.017 0.004 0.992

=====

Entry 3:
# Rb2Ir3O8

A geometry-optimized Rb2Ir3O8 structure (GGA-PBE, Alexandria via LeMat-Bulk).

Computed properties:
For the raw formation energy, the calculation gives -0.993 eV/atom. The space group is No. 12. The calculation puts the density of states at the Fermi level at 9.93 states/eV/cell.

Cell lengths 6.386, 5.427, 7.343 Å; angles 106.86, 115.77, 90.00 degrees
Positions (direct):
O: 0.587 0.973 0.173
O: 0.080 0.899 0.159
O: 0.708 0.631 0.846
O: 0.862 0.369 0.154
O: 0.413 0.027 0.827
O: 0.138 0.631 0.846
O: 0.920 0.101 0.841
O: 0.292 0.369 0.154
Ir: 0.000 0.500 0.000
Ir: 0.257 0.000 0.000
Ir: 0.743 0.000 0.000
Rb: 0.724 0.679 0.449
Rb: 0.276 0.321 0.551

=====

Entry 4:
# ScV3Sn

A geometry-optimized ScV3Sn structure (GGA-PBE, Alexandria via LeMat-Bulk).

Computed properties:
The space group is No. 221. For the energy of formation, the calculation gives 1.37 eV/atom. The calculation puts the density of states at the Fermi level at 7.55 states/eV/cell.

Cell lengths 4.507, 4.507, 4.507 Å; angles 90.00, 90.00, 90.00 degrees
Positions (direct):
Sc: 0.000 0.000 0.000
V: 0.000 0.500 0.000
V: 0.500 0.000 0.000
V: 0.000 0.000 0.500
Sn: 0.500 0.500 0.500

=====

Entry 5:
# BaNdY2

A geometry-optimized BaNdY2 structure (GGA-PBE, Alexandria via LeMat-Bulk).

Computed properties:
The space group is No. 166. For the energy of formation, the calculation gives 0.14 eV/atom. The calculation puts the density of states at the Fermi level at 4.93 states/eV/cell.

Cell lengths 3.742, 3.742, 12.487 Å; angles 81.38, 81.38, 60.00 degrees
Positions (direct):
Y: 0.744 0.744 0.769
Y: 0.256 0.256 0.231
Ba: 0.500 0.500 0.500
Nd: 0.000 0.000 0.000

=====

Entry 6:
# CsDyMgF6

A geometry-optimized CsDyMgF6 structure (GGA-PBE, Alexandria via LeMat-Bulk).

Computed properties:
For the raw formation energy, the calculation gives -3.652 eV/atom. The space group is No. 74. The calculation puts the density of states at the Fermi level at 0.00 states/eV/cell.

Cell lengths 8.118, 7.650, 7.795 Å; angles 119.38, 121.38, 90.00 degrees
Site moments in Bohr magnetons follow the coordinates.
Positions (direct):
F: 0.540 0.290 0.081  0.05
F: 0.807 0.094 0.260  0.01
F: 0.193 0.906 0.740  0.01
F: 0.166 0.916 0.333  0.00
F: 0.834 0.084 0.667  0.00
F: 0.546 0.906 0.740  0.01
F: 0.807 0.667 0.260  0.01
F: 0.454 0.094 0.260  0.01
F: 0.454 0.667 0.260  0.01
F: 0.460 0.710 0.919  0.05
F: 0.546 0.333 0.740  0.01
F: 0.193 0.333 0.740  0.01
Dy: 0.000 0.000 0.500  0.00
Dy: 0.500 0.000 0.500  0.00
Cs: 0.824 0.574 0.648  0.00
Cs: 0.176 0.426 0.352  0.00
Mg: 0.500 0.500 0.000  0.00
Mg: 0.500 0.000 0.000  0.00

=====

Entry 7:
# Ca2NF

A geometry-optimized Ca2NF structure (GGA-PBE, Alexandria via LeMat-Bulk).

Computed properties:
For the raw formation energy, the calculation gives -2.044 eV/atom. The space group is No. 141. The calculation puts the density of states at the Fermi level at 0.00 states/eV/cell.

Cell lengths 6.271, 6.271, 6.271 Å; angles 133.86, 133.86, 67.30 degrees
Positions (direct):
Ca: 0.477 0.977 0.500
Ca: 0.273 0.273 0.000
Ca: 0.023 0.523 0.500
Ca: 0.727 0.727 0.000
N: 0.500 0.500 0.000
N: 0.250 0.750 0.500
F: 0.750 0.250 0.500
F: 0.000 0.000 0.000